Entry from Alexandria: a relaxed structure of Y8SnBi3Te4 (PBE-GGA).

```
Y8SnBi3Te4
1.0
4.431 2.558 7.201
-4.431 2.558 7.201
0.000 -5.117 7.201
Y Sn Bi Te
8 1 3 4
Direct
0.249 0.249 0.249
0.255 0.744 0.744
0.256 0.256 0.745
0.256 0.745 0.256
0.744 0.255 0.744
0.744 0.744 0.255
0.745 0.256 0.256
0.751 0.751 0.751
0.500 0.500 0.500
0.000 0.000 0.500
0.000 0.500 0.000
0.500 0.000 0.000
0.000 0.000 0.000
0.000 0.500 0.500
0.500 0.000 0.500
0.500 0.500 0.000
```

## Properties
Volume ... 30.614 Å³/atom
Space group ... R-3m
Energy relative to the elements, uncorrected ... -1.123 eV/atom



Entry from Alexandria: a relaxed structure of YAs2W (PBE-GGA).

```
YAs2W
1.0
-2.931 2.931 6.389
2.931 -2.931 6.389
2.931 2.931 -6.389
Y As W
2 4 2
Direct
0.000 0.000 0.000
0.750 0.250 0.500
0.184 0.625 0.059
0.375 0.434 0.559
0.566 0.125 0.941
0.875 0.816 0.441
0.250 0.750 0.500
0.500 0.500 0.000
```

## Properties
Offset from the most stable computed form ... 473 meV per atom
Volume ... 27.436 Å³/atom
Space group ... I-42d



Entry from Alexandria: a relaxed structure of SiHgRh (PBE-GGA).

```
SiHgRh
1.0
-1.597 1.597 4.941
1.597 -1.597 4.941
1.597 1.597 -4.941
Si Hg Rh
1 1 1
Direct
0.000 0.000 0.000
0.704 0.704 0.000
0.407 0.407 0.000
```

## Properties
Offset from the most stable computed form ... 0 meV per atom
Volume ... 16.794 Å³/atom
Space group ... I4mm
Energy relative to the elements, uncorrected ... -0.129 eV/atom



Entry from Alexandria: a relaxed structure of Pt2Rh5W (PBE-GGA).

```
Pt2Rh5W
1.0
-1.352 4.323 5.107
1.352 -4.323 5.107
1.352 4.323 -5.107
Pt Rh W
2 5 1
Direct
0.236 0.236 0.000
0.764 0.764 0.000
0.144 0.874 0.270
0.395 0.126 0.270
0.500 0.500 0.000
0.605 0.874 0.730
0.856 0.126 0.730
0.000 0.500 0.500
```

## Properties
Volume ... 14.923 Å³/atom
Electronic total energy ... -7.71 eV per atom
Space group ... Immm



Entry from Alexandria: a relaxed structure of ThSiHIr (PBE-GGA).

```
ThSiHIr
1.0
4.103 0.000 0.000
0.000 4.103 0.000
0.000 0.000 7.502
Th Si H Ir
2 2 2 2
Direct
0.250 0.250 0.171
0.750 0.750 0.829
0.250 0.250 0.681
0.750 0.750 0.319
0.250 0.750 0.000
0.750 0.250 0.000
0.250 0.750 0.500
0.750 0.250 0.500
```

## Properties
Volume ... 15.785 Å³/atom
Electronic total energy ... -7.16 eV per atom
Space group ... P4/nmm



Entry from Alexandria: a relaxed structure of La8Rh3CCl3 (PBE-GGA).

```
La8Rh3CCl3
1.0
7.180 -4.137 0.000
7.180 4.137 0.000
-4.777 0.000 7.416
La Rh C Cl
8 3 1 3
Direct
0.223 0.223 0.698
0.223 0.752 0.698
0.248 0.777 0.302
0.262 0.262 0.286
0.738 0.738 0.714
0.752 0.223 0.698
0.777 0.248 0.302
0.777 0.777 0.302
0.000 0.500 0.500
0.500 0.000 0.500
0.500 0.500 0.500
0.000 0.000 0.500
0.000 0.000 0.000
0.000 0.500 0.000
0.500 0.000 0.000
```

## Properties
Volume ... 29.365 Å³/atom
Space group ... C2/m
Energy relative to the elements, uncorrected ... -0.985 eV/atom



Entry from Alexandria: a relaxed structure of VCrBi2Pd (PBE-GGA).

```
VCrBi2Pd
1.0
5.221 0.000 0.000
0.000 5.221 0.000
0.000 0.000 4.372
V Cr Bi Pd
1 1 2 1
Direct
0.000 0.000 0.000
0.000 0.000 0.500
0.000 0.500 0.000
0.500 0.000 0.000
0.500 0.500 0.500
```

## Properties
Volume ... 23.837 Å³/atom
Electronic total energy ... -5.58 eV per atom
Space group ... P4/mmm



Entry from Alexandria: a relaxed structure of TiV3P (PBE-GGA).

```
TiV3P
1.0
4.358 0.000 0.000
0.000 4.358 0.000
0.000 0.000 4.358
Ti V P
1 3 1
Direct
0.000 0.000 0.000
0.000 0.000 0.500
0.000 0.500 0.000
0.500 0.000 0.000
0.500 0.500 0.500
```

## Properties
Offset from the most stable computed form ... 1825 meV per atom
Volume ... 16.551 Å³/atom
Space group ... Pm-3m



Entry from Alexandria: a relaxed structure of PuPaAg (PBE-GGA).

```
PuPaAg
1.0
5.052 0.000 0.000
-2.526 4.375 0.000
0.000 0.000 2.953
Pu Pa Ag
1 1 1
Direct
0.000 0.000 0.000
0.667 0.333 0.000
0.333 0.667 0.500
```

## Properties
Offset from the most stable computed form ... 43 meV per atom
Volume ... 21.761 Å³/atom
Space group ... P-6m2



Entry from Alexandria: a relaxed structure of UNiRh2 (PBE-GGA).

```
UNiRh2
1.0
0.000 3.185 3.185
3.185 0.000 3.185
3.185 3.185 0.000
U Ni Rh
1 1 2
Direct
0.000 0.000 0.000
0.500 0.500 0.500
0.250 0.250 0.250
0.750 0.750 0.750
```

## Properties
Offset from the most stable computed form ... 259 meV per atom
Volume ... 16.153 Å³/atom
Space group ... Fm-3m



Entry from Alexandria: a relaxed structure of KLiPb2 (PBE-GGA).

```
KLiPb2
1.0
-1.798 2.969 5.644
1.798 -2.969 5.644
1.798 2.969 -5.644
K Li Pb
1 1 2
Direct
0.000 0.000 0.000
0.500 0.500 0.000
0.286 0.786 0.500
0.714 0.214 0.500
```

## Properties
Offset from the most stable computed form ... 127 meV per atom
Volume ... 30.131 Å³/atom
Space group ... Immm



Entry from Alexandria: a relaxed structure of K2Tl2Sn (PBE-GGA).

```
K2Tl2Sn
1.0
8.100 0.000 0.000
0.000 8.100 0.000
0.000 0.000 5.768
K Tl Sn
4 4 2
Direct
0.180 0.320 0.000
0.320 0.820 0.000
0.680 0.180 0.000
0.820 0.680 0.000
0.136 0.636 0.500
0.364 0.136 0.500
0.636 0.864 0.500
0.864 0.364 0.500
0.000 0.000 0.500
0.500 0.500 0.500
```

## Properties
Offset from the most stable computed form ... 60 meV per atom
Volume ... 37.843 Å³/atom
Space group ... P4/mbm



Entry from Alexandria: a relaxed structure of Ta2FeSe (PBE-GGA).

```
Ta2FeSe
1.0
2.921 -3.540 0.000
2.921 3.540 0.000
-0.413 0.000 3.061
Ta Fe Se
2 1 1
Direct
0.000 0.500 0.000
0.500 0.000 0.000
0.000 0.000 0.500
0.500 0.500 0.500
```

## Properties
Volume ... 15.827 Å³/atom
Space group ... C2/m
Energy relative to the elements, uncorrected ... 0.056 eV/atom